Record 1
Here is Tm2AlS after structural relaxation from Alexandria. Energies are from PBE.

abc: 7.919 7.919 7.919
angles: 27.06 27.06 27.06
Fractional positions:
Tm  0.240  0.240  0.240
Tm  0.760  0.760  0.760
Al  0.000  0.000  0.000
S  0.500  0.500  0.500

## Properties
distance to the lowest polymorph of the same formula	73	meV/atom
space-group type	R-3m (166)
Fermi-level density of states	0.4572	states/eV per atom
raw formation energy	-106	kJ per mole of atoms

Record 2
Here is ScTc2Ni after structural relaxation from Alexandria. Energies are from PBE.

abc: 5.197 5.197 2.696
angles: 100.18 100.18 119.34
Fractional positions:
Sc  0.000  0.000  0.000
Tc  0.000  0.500  0.500
Tc  0.500  0.000  0.500
Ni  0.500  0.500  0.000

## Properties
distance to the lowest polymorph of the same formula	140	meV/atom
space-group type	C2/m (12)
Fermi-level density of states	1.1597	states/eV per atom

Record 3
Here is CoNiSn2H6 after structural relaxation from Alexandria. Energies are from PBE.

abc: 4.779 4.779 5.410
angles: 115.97 115.97 90.00
Fractional positions:
Co  0.000  0.000  0.000
Ni  0.491  0.491  0.982
Sn  0.186  0.686  0.377
Sn  0.686  0.186  0.377
H  0.178  0.178  0.361
H  0.198  0.712  0.911
H  0.199  0.199  0.911
H  0.675  0.675  0.354
H  0.712  0.198  0.911
H  0.713  0.713  0.911

## Properties
space-group type	Cm (8)
Fermi-level density of states	0.2384	states/eV per atom
E	-3.875	eV/atom